Record 1
5
Lattice="4.156 0.000 0.000 0.000 5.101 0.000 0.000 0.000 4.156" Properties=species:S:1:pos:R:3 comment="SrNi2TeN, relaxed, DFT GGA-PBE" space_group="P4/mmm, No. 123" dos_ef_per_ev_cell=5.589 raw_formation_energy_ev_per_atom=0.02 pbc="T T T"
Ni 2.078 0.000 0.000
Sr 0.000 2.551 0.000
Ni 0.000 0.000 2.078
Te 2.078 2.551 2.078
N 0.000 0.000 0.000

---

Record 2
8
Lattice="-3.761 -1.928 1.407 -0.152 -2.426 -3.733 3.605 -9.647 3.466" Properties=species:S:1:pos:R:3 comment="KTc2Hg, relaxed, DFT GGA-PBE" space_group="I-42d, No. 122" formation_enthalpy_0k_ev_per_atom=1.187 dos_ef_per_ev_cell=10.455 pbc="T T T"
K 0.748 -7.125 -0.715
Tc -2.206 -5.473 -0.340
Hg 0.000 0.000 0.000
Tc -2.687 -4.545 1.735
Tc 1.286 -8.082 2.937
K -1.957 -2.177 -1.163
Tc -0.617 -9.406 3.088
Hg -1.056 -6.877 1.855

---

Record 3
11
Lattice="4.980 0.000 0.000 0.000 4.980 0.000 0.000 0.000 12.806" Properties=species:S:1:pos:R:3 comment="Sr2MgSn8, relaxed, DFT GGA-PBE" space_group="P4/mmm, No. 123" formation_enthalpy_0k_ev_per_atom=-0.280 dos_ef_per_ev_cell=3.870 pbc="T T T"
Sn 2.490 0.000 1.642
Sr 0.000 0.000 3.992
Sn 2.490 2.490 3.992
Sn 0.000 2.490 1.642
Sn 0.000 2.490 6.403
Sn 0.000 2.490 11.164
Sn 2.490 0.000 11.164
Sr 0.000 0.000 8.814
Sn 2.490 0.000 6.403
Mg 0.000 0.000 0.000
Sn 2.490 2.490 8.814

---

Record 4
8
Lattice="2.877 0.000 0.000 0.000 2.851 0.000 0.000 0.000 13.302" Properties=species:S:1:pos:R:3 comment="TaPdWC, relaxed, DFT GGA-PBE" space_group="Amm2, No. 38" formation_enthalpy_0k_ev_per_atom=-0.128 dos_ef_per_ev_cell=1.514 polymorph_energy_mev_per_atom=101 pbc="T T T"
Ta 0.000 0.000 9.497
W 0.000 1.425 12.058
Pd 1.438 1.425 7.526
W 0.000 0.000 5.407
C 1.438 1.425 4.511
Ta 0.000 1.425 2.846
Pd 1.438 0.000 0.875
C 1.438 0.000 11.162

---

Record 5
15
Lattice="-3.471 -5.912 -3.989 7.734 1.451 -0.993 -2.376 -3.776 7.664" Properties=species:S:1:pos:R:3 comment="Tm3UTl3S8, relaxed, DFT GGA-PBE" space_group="R-3m, No. 166" dos_ef_per_ev_cell=6.147 raw_formation_energy_ev_per_atom=-1.46 pbc="T T T"
S 5.002 -2.575 3.432
Tl 2.132 -2.231 -2.491
U -1.188 -1.888 3.832
S -1.369 -2.688 1.257
S 1.112 -3.305 3.932
Tm -2.923 -4.844 1.838
S -0.609 -6.271 1.939
S 0.776 -4.933 -1.250
Tm 0.944 -4.119 1.341
Tl 0.000 0.000 0.000
Tm 2.679 -1.163 3.336
S 3.256 -5.549 1.425
Tl 3.867 0.726 -0.497
S 2.497 -1.967 0.743
S -3.115 -5.663 -0.750

---

Record 6
12
Lattice="6.046 0.000 0.000 3.023 5.236 0.000 3.023 1.745 7.818" Properties=species:S:1:pos:R:3 comment="CsRbAl2F8, relaxed, DFT GGA-PBE" space_group="R-3, No. 148" dos_ef_per_ev_cell=0.000 raw_formation_energy_ev_per_atom=-3.31 pbc="T T T"
F 9.069 5.236 4.038
F 3.023 1.745 3.780
Rb 0.000 0.000 0.000
F 7.472 5.009 6.272
Al 9.069 5.236 5.742
F 8.074 3.015 1.546
F 6.648 1.497 6.272
Cs 6.046 3.491 3.909
F 4.621 1.973 1.546
F 4.019 3.966 6.272
F 5.444 5.484 1.546
Al 3.023 1.745 2.076

---

no.,calculated volume (Å³/cell)
1,88
2,206
3,318
4,109
5,414
6,248